5
Lattice="6.886 0.000 0.000 0.000 6.886 0.000 0.000 0.000 2.861" Properties=species:S:1:pos:R:3 comment="KBI2N (PBE, relaxed)" formation_energy_uncorrected_ev_per_atom=-0.264 sg=P4/mmm crystal_system=tetragonal relative_energy_kj_per_mol_atoms=0.0 dft_energy_ev_per_fu=-20.52 pbc="T T T"
K 0.000 0.000 0.000
B 3.443 3.443 1.430
I 0.000 3.443 1.430
I 3.443 0.000 1.430
N 3.443 3.443 0.000

---

12
Lattice="3.647 0.000 0.000 -1.823 3.158 0.000 0.000 0.000 36.006" Properties=species:S:1:pos:R:3 comment="HfHgBr2 (PBE, relaxed)" formation_energy_uncorrected_ev_per_atom=-0.392 sg=R-3m crystal_system=trigonal relative_energy_kj_per_mol_atoms=33.0 dft_energy_ev_per_fu=-15.17 pbc="T T T"
Hf 0.000 0.000 0.000
Hf 0.000 2.106 24.004
Hf 1.823 1.053 12.002
Hg 0.000 0.000 18.003
Hg 0.000 2.106 6.001
Hg 1.823 1.053 30.005
Br 0.000 0.000 2.460
Br 0.000 0.000 33.546
Br 0.000 2.106 21.544
Br 0.000 2.106 26.464
Br 1.823 1.053 9.542
Br 1.823 1.053 14.462

---

8
Lattice="3.597 0.000 0.000 0.000 3.597 0.000 0.000 0.000 7.278" Properties=species:S:1:pos:R:3 comment="Be2ZnP (PBE, relaxed)" delta_e_f_ev_per_atom=0.392 sg=I4/mmm crystal_system=tetragonal relative_energy_kj_per_mol_atoms=15.9 dft_energy_ev_per_fu=-12.57 pbc="T T T"
Be 0.000 1.798 1.820
Be 0.000 1.798 5.459
Be 1.798 0.000 1.820
Be 1.798 0.000 5.459
Zn 0.000 0.000 0.000
Zn 1.798 1.798 3.639
P 0.000 0.000 3.639
P 1.798 1.798 0.000

---

10
Lattice="5.568 0.000 0.000 2.607 4.931 0.000 2.552 1.540 6.346" Properties=species:S:1:pos:R:3 comment="Tb2AgHPd6 (PBE, relaxed)" sg=P-1 crystal_system=triclinic dft_energy_ev_per_fu=-52.09 pbc="T T T"
Tb 2.483 1.494 1.217
Tb 8.244 4.976 5.129
Ag 0.000 0.000 0.000
H 5.363 3.235 3.173
Pd 3.650 3.915 2.299
Pd 4.313 2.606 4.670
Pd 5.560 5.081 4.041
Pd 5.166 1.390 2.305
Pd 6.414 3.864 1.676
Pd 7.077 2.556 4.047

---

16
Lattice="7.013 0.000 0.000 0.000 7.013 0.000 0.000 0.000 7.013" Properties=species:S:1:pos:R:3 comment="HoScTiGa (PBE, relaxed)" delta_e_f_ev_per_atom=-0.145 sg=F-43m crystal_system=cubic dft_energy_ev_per_fu=-22.41 pbc="T T T"
Ho 0.000 0.000 0.000
Ho 0.000 3.506 3.506
Ho 3.506 0.000 3.506
Ho 3.506 3.506 0.000
Sc 0.000 0.000 3.506
Sc 0.000 3.506 0.000
Sc 3.506 0.000 0.000
Sc 3.506 3.506 3.506
Ti 1.753 1.753 1.753
Ti 1.753 5.260 5.260
Ti 5.260 1.753 5.260
Ti 5.260 5.260 1.753
Ga 1.753 1.753 5.260
Ga 1.753 5.260 1.753
Ga 5.260 1.753 1.753
Ga 5.260 5.260 5.260

---

4
Lattice="4.758 0.000 0.000 0.000 4.758 0.000 0.000 0.000 3.295" Properties=species:S:1:pos:R:3 comment="HoTmNi2 (PBE, relaxed)" delta_e_f_ev_per_atom=-0.434 sg=P4/mmm crystal_system=tetragonal relative_energy_kj_per_mol_atoms=5.2 dft_energy_ev_per_fu=-22.35 pbc="T T T"
Ho 0.000 0.000 0.000
Tm 2.379 2.379 0.000
Ni 0.000 2.379 1.647
Ni 2.379 0.000 1.647

---

16
Lattice="6.445 0.000 0.000 0.000 6.445 0.000 0.000 0.000 10.869" Properties=species:S:1:pos:R:3 comment="Hg2GeS (PBE, relaxed)" formation_energy_uncorrected_ev_per_atom=0.200 sg=I-42d crystal_system=tetragonal relative_energy_kj_per_mol_atoms=29.3 dft_energy_ev_per_fu=-8.55 pbc="T T T"
Hg 1.592 1.611 1.359
Hg 1.611 4.814 4.076
Hg 1.611 4.854 9.510
Hg 1.631 1.611 6.793
Hg 4.814 4.834 6.793
Hg 4.834 1.592 9.510
Hg 4.834 1.631 4.076
Hg 4.854 4.834 1.359
Ge 0.000 0.000 5.435
Ge 0.000 3.223 8.152
Ge 3.223 0.000 2.717
Ge 3.223 3.223 0.000
S 0.000 0.000 0.000
S 0.000 3.223 2.717
S 3.223 0.000 8.152
S 3.223 3.223 5.435

---

12
Lattice="3.073 -5.317 0.000 3.073 5.317 0.000 -2.056 0.000 11.445" Properties=species:S:1:pos:R:3 comment="Tb3PmTm6Th2 (PBE, relaxed)" delta_e_f_ev_per_atom=0.028 sg=C2/m crystal_system=monoclinic dft_energy_ev_per_fu=-59.97 pbc="T T T"
Tb 0.000 0.000 0.000
Tb 3.073 1.768 0.000
Tb 3.073 -1.768 0.000
Pm 2.045 0.000 5.722
Tm 1.005 1.796 2.880
Tm -0.031 0.000 8.567
Tm 1.005 -1.796 2.880
Tm 3.085 1.796 8.564
Tm 4.121 0.000 2.878
Tm 3.085 -1.796 8.564
Th 2.045 3.544 5.722
Th 2.045 -3.544 5.722

---

8
Lattice="2.248 1.298 9.217 -2.248 1.298 9.217 0.000 -2.596 9.217" Properties=species:S:1:pos:R:3 comment="SrMnZn2Au4 (PBE, relaxed)" delta_e_f_ev_per_atom=-0.311 sg=R-3m crystal_system=trigonal dft_energy_ev_per_fu=-29.00 pbc="T T T"
Sr 0.000 0.000 0.000
Mn 0.000 0.000 13.826
Zn 0.000 0.000 6.539
Zn 0.000 0.000 21.113
Au 0.000 0.000 3.664
Au 0.000 0.000 11.137
Au 0.000 0.000 16.515
Au 0.000 0.000 23.989

---

12
Lattice="3.476 0.000 0.000 -1.738 3.010 0.000 0.000 0.000 37.126" Properties=species:S:1:pos:R:3 comment="Sm2HoMg (PBE, relaxed)" delta_e_f_ev_per_atom=0.183 sg=R-3m crystal_system=trigonal relative_energy_kj_per_mol_atoms=20.3 dft_energy_ev_per_fu=-14.88 pbc="T T T"
Sm 0.000 0.000 3.320
Sm 0.000 0.000 33.806
Sm 0.000 2.007 21.431
Sm 0.000 2.007 28.071
Sm 1.738 1.003 9.055
Sm 1.738 1.003 15.695
Ho 0.000 0.000 18.563
Ho 0.000 2.007 6.188
Ho 1.738 1.003 30.939
Mg 0.000 0.000 0.000
Mg 0.000 2.007 24.751
Mg 1.738 1.003 12.375

---

12
Lattice="3.085 -5.341 0.000 3.085 5.341 0.000 -2.048 0.000 11.621" Properties=species:S:1:pos:R:3 comment="Tb6Sm3HoTm2 (PBE, relaxed)" delta_e_f_ev_per_atom=0.017 sg=C2/m crystal_system=monoclinic dft_energy_ev_per_fu=-55.25 pbc="T T T"
Tb 0.003 1.782 8.758
Tb 1.031 0.000 2.863
Tb 0.003 -1.782 8.758
Tb 4.119 1.782 2.863
Tb 3.091 0.000 8.758
Tb 4.119 -1.782 2.863
Sm -1.024 0.000 5.810
Sm 2.061 1.781 5.810
Sm 2.061 -1.781 5.810
Ho 3.085 0.000 0.000
Tm 3.085 3.560 0.000
Tm 3.085 -3.560 0.000

---

11
Lattice="8.850 0.000 0.000 0.000 3.525 0.000 -0.915 0.000 11.773" Properties=species:S:1:pos:R:3 comment="Nd5Tm4Th2 (PBE, relaxed)" delta_e_f_ev_per_atom=0.120 sg=P2/m crystal_system=monoclinic relative_energy_kj_per_mol_atoms=0.0 dft_energy_ev_per_fu=-55.24 pbc="T T T"
Nd 0.000 0.000 0.000
Nd 0.368 0.000 3.455
Nd 1.984 0.000 9.875
Nd 5.951 0.000 1.898
Nd 7.567 0.000 8.318
Tm 1.273 1.762 6.443
Tm 2.876 1.762 1.293
Tm 5.059 1.762 10.480
Tm 6.661 1.762 5.329
Th 3.728 0.000 4.311
Th 4.206 0.000 7.462